1.
DFT (PBE) results for a geometry-optimized CaLaLuCd structure.

abc: 7.9427 7.9427 7.9427
angles: 90.00 90.00 90.00
Closest atoms and distances in Å follow each position.
Space group F-43m (No. 216)
Unique sites:
Ca1 0.0000 0.0000 0.0000 (multiplicity 4)  4 Cd 3.44, 4 Lu 3.44
La1 0.0000 0.0000 0.5000 (multiplicity 4)  4 Lu 3.44, 4 Cd 3.44
Lu1 0.2500 0.2500 0.7500 (multiplicity 4)  4 La 3.44, 4 Ca 3.44
Cd1 0.2500 0.2500 0.2500 (multiplicity 4)  4 La 3.44, 4 Ca 3.44

## Properties
* energy of formation from the pure elements: -0.02 eV/atom
* DFT total energy: -3.11 eV/atom

***

2.
DFT (PBE) results for a geometry-optimized CaLaSi2 structure.

abc: 4.8012 4.8012 4.1736
angles: 90.00 90.00 90.00
Closest atoms and distances in Å follow each position.
Space group P4/mmm (No. 123)
Unique sites:
Ca1 0.0000 0.0000 0.0000 (multiplicity 1)  8 Si 3.18, 4 La 3.39
La1 0.5000 0.5000 0.0000 (multiplicity 1)  8 Si 3.18, 4 Ca 3.39
Si1 0.0000 0.5000 0.5000 (multiplicity 2)  4 La 3.18, 4 Ca 3.18, 4 Si 3.39

## Properties
* DFT total energy: -4.81 eV/atom

***

3.
DFT (PBE) results for a geometry-optimized AcHg3Bi2 structure.

abc: 5.8827 11.4707 5.5314
angles: 90.00 90.00 90.00
Closest atoms and distances in Å follow each position.
Space group Cmmm (No. 65)
Unique sites:
Ac1 0.0000 0.0000 0.0000 (multiplicity 2)  4 Hg 3.38, 6 Bi 3.56-3.66
Hg1 0.0000 0.1693 0.5000 (multiplicity 4)  2 Bi 3.20, 2 Ac 3.38, 4 Hg 3.48-3.52
Hg2 0.0000 0.5000 0.5000 (multiplicity 2)  4 Bi 3.52, 6 Hg 3.52-3.79
Bi1 0.0000 0.3100 0.0000 (multiplicity 4)  4 Hg 3.20-3.52, 2 Bi 3.25, 1 Ac 3.56

## Properties
* energy of formation from the pure elements: -0.24 eV/atom
* DFT total energy: -2.37 eV/atom